CaYGaIr | PBE | relaxed

## Properties
**E above lowest polymorph**: 0.48 eV/f.u.
**M_tot**: 0.00 μB per cell
**ΔE_f**: -1.97 eV per formula unit
**SG**: F-43m (216)

extended XYZ file:
```
4
Lattice="0.0000 3.5041 3.5041 3.5041 0.0000 3.5041 3.5041 3.5041 0.0000" Properties=species:S:1:pos:R:3 pbc="T T T"
Ca 0.0000 0.0000 0.0000
Y 3.5041 3.5041 3.5041
Ga 5.2561 5.2561 5.2561
Ir 1.7520 1.7520 1.7520
```